Computed, not measured: an optimized crystal structure of DyErSi at the PBE level of DFT.

Computed properties:
spin magnetization	0.00	μB/f.u.
offset from the most stable computed form	0.0	meV/atom

Unit cell a=6.811 b=6.811 c=6.811 alpha=90.00 beta=90.00 gamma=90.00
Space group F-43m (No. 216)
Unique sites:
Dy (0.000, 0.000, 0.000) (multiplicity 4)
Er (0.000, 0.000, 0.500) (multiplicity 4)
Si (0.250, 0.250, 0.750) (multiplicity 4)